Entry 1:
VASP calculation (GGA-PBE) on HoThIn after structural relaxation.

Computed properties:
E above lowest polymorph   0 meV per atom
Space group   F-43m

```
HoThIn
1.0
0.0000 3.6873 3.6873
3.6873 0.0000 3.6873
3.6873 3.6873 0.0000
Ho Th In
1 1 1
Cartesian
1.8437 1.8437 1.8437
5.5310 5.5310 5.5310
0.0000 0.0000 0.0000
```

=====

Entry 2:
VASP calculation (GGA-PBE) on Gd2U after structural relaxation.

Computed properties:
Space group   Fd-3m
Energy of formation   253 kJ per mole of atoms

```
Gd2U
1.0
4.3839 2.5310 7.1588
-4.3839 2.5310 7.1588
0.0000 -5.0620 7.1588
Gd U
4 2
Cartesian
2.1919 1.2655 11.6331
0.0000 0.0000 8.0537
-2.1919 1.2655 11.6331
0.0000 -2.5310 11.6331
0.0000 0.0000 5.3691
0.0000 0.0000 10.7382
```

=====

Entry 3:
VASP calculation (GGA-PBE) on LaCo2SiP after structural relaxation.

Computed properties:
Final energy   -34.323 eV for the cell shown
Space group   I4mm

```
LaCo2SiP
1.0
-1.9887 1.9887 4.9427
1.9887 -1.9887 4.9427
1.9887 1.9887 -4.9427
La P Co Si
1 1 2 1
Cartesian
0.0000 0.0000 0.0310
0.0000 0.0000 6.3119
1.9887 0.0000 2.4488
0.0000 1.9887 2.4488
0.0000 0.0000 3.5875
```